This record from Alexandria describes a geometry-optimized Pm4AsN2 structure. The functional is PBE.

Total energy (eV/atom): -6.84
Mass density (g/cm³): 7.30
DOS at the Fermi energy (states/eV per atom): 0.504
Space-group type: I4_1/amd, No. 141
Spin magnetization (μB/cell): 0.00

abc: 7.3902 7.3902 7.3902
angles: 108.78 108.78 110.87
Closest atoms and distances in Å follow each position.
Sites, in units of the cell vectors:
Pm 0.9031 0.2204 0.3172  3 N 2.40-2.68
Pm 0.9032 0.5859 0.6828  3 N 2.40-2.68
Pm 0.3469 0.5296 0.1828  3 N 2.40-2.68
Pm 0.3468 0.1641 0.8172  3 N 2.40-2.68
Pm 0.4141 0.0968 0.3172  3 N 2.40-2.68
Pm 0.4704 0.6531 0.8172  3 N 2.40-2.68
Pm 0.8359 0.6532 0.1828  3 N 2.40-2.68
Pm 0.7796 0.0969 0.6828  3 N 2.40-2.68
N 0.6250 0.8750 0.2500  6 Pm 2.40-2.68
N 0.1250 0.3750 0.7500  6 Pm 2.40-2.68
N 0.6250 0.3750 0.7500  6 Pm 2.40-2.68
N 0.6250 0.3750 0.2500  6 Pm 2.40-2.68
As 0.0000 0.0000 0.0000  4 Pm 2.85
As 0.2500 0.7500 0.5000  4 Pm 2.85